A plane-wave DFT calculation with PBE-GGA was carried out for crystalline BaTiI3 at its relaxed geometry.

Properties
- total moment (μB per cell) = 3.00
- E_form (uncorrected) (meV/atom) = -275
- electronic total energy (eV per atom) = -3.169
- distance to the lowest polymorph of the same formula (eV/atom) = 0.543

a b c (Å): 6.6871 6.6871 6.6871
angles (deg): 90.00 90.00 90.00
With the nearest neighbours (Å) after each atom.
Fractional positions:
Ba 0.0000 0.0000 0.0000  6 I 3.34
Ti 0.5000 0.5000 0.5000  12 I 4.73
I 0.0000 0.0000 0.5000  2 Ba 3.34
I 0.0000 0.5000 0.0000  2 Ba 3.34
I 0.5000 0.0000 0.0000  2 Ba 3.34